[1]
{
  "formula": "TeW2O8",
  "functional": "PBE+U",
  "state": "relaxed",
  "dos_ef_per_ev_cell": 0.00,
  "dft_energy_ev_per_cell": -150.4,
  "relative_energy_ev_per_fu": 0.00,
  "cell": [[5.2782, 0.0000, 0.0000], [0.0000, 5.7270, 0.0000], [-3.8390, 0.0000, 10.1517]],
  "species": ["Te", "Te", "W", "W", "W", "W", "O", "O", "O", "O", "O", "O", "O", "O", "O", "O", "O", "O", "O", "O", "O", "O"],
  "fractional_positions": [[0.0000, 0.0954, 0.2500], [0.0000, 0.9046, 0.7500], [0.2495, 0.3455, 0.0082], [0.2495, 0.6545, 0.5082], [0.7505, 0.3455, 0.4918], [0.7505, 0.6545, 0.9918], [0.1346, 0.4296, 0.6088], [0.1346, 0.5704, 0.1088], [0.2143, 0.1041, 0.1143], [0.2143, 0.8959, 0.6143], [0.2353, 0.1381, 0.8629], [0.2353, 0.8619, 0.3629], [0.3665, 0.3723, 0.4112], [0.3665, 0.6277, 0.9112], [0.6335, 0.3723, 0.0888], [0.6335, 0.6277, 0.5888], [0.7647, 0.1381, 0.6371], [0.7647, 0.8619, 0.1371], [0.7857, 0.1041, 0.3857], [0.7857, 0.8959, 0.8857], [0.8654, 0.4296, 0.8912], [0.8654, 0.5704, 0.3912]]
}

---

[2]
{
  "formula": "TeWO6",
  "functional": "PBE+U",
  "state": "relaxed",
  "dos_ef_per_ev_cell": 0.00,
  "dft_energy_ev_per_cell": -51.1,
  "relative_energy_ev_per_fu": 0.00,
  "cell": [[2.5837, 1.4917, 4.4303], [-2.5837, 1.4917, 4.4303], [0.0000, -2.9835, 4.4303]],
  "species": ["Te", "W", "O", "O", "O", "O", "O", "O"],
  "fractional_positions": [[0.0000, 0.0000, 0.0000], [0.5000, 0.5000, 0.5000], [0.1473, 0.7515, 0.3517], [0.2485, 0.6483, 0.8527], [0.3517, 0.1473, 0.7515], [0.6483, 0.8527, 0.2485], [0.7515, 0.3517, 0.1473], [0.8527, 0.2485, 0.6483]]
}

---

[3]
{
  "formula": "TeWO2",
  "functional": "PBE+U",
  "state": "relaxed",
  "dos_ef_per_ev_cell": 20.65,
  "dft_energy_ev_per_cell": -91.5,
  "cell": [[6.1492, 0.0000, 0.0000], [0.0000, 6.1492, 0.0000], [0.0000, 0.0000, 8.7569]],
  "species": ["Te", "Te", "Te", "Te", "W", "W", "W", "W", "O", "O", "O", "O", "O", "O", "O", "O"],
  "fractional_positions": [[0.0000, 0.2500, 0.3750], [0.0000, 0.7500, 0.6250], [0.5000, 0.2500, 0.1250], [0.5000, 0.7500, 0.8750], [0.0000, 0.2500, 0.8750], [0.0000, 0.7500, 0.1250], [0.5000, 0.2500, 0.6250], [0.5000, 0.7500, 0.3750], [0.0000, 0.0000, 0.0000], [0.0000, 0.5000, 0.0000], [0.2500, 0.2500, 0.7500], [0.2500, 0.7500, 0.2500], [0.5000, 0.0000, 0.5000], [0.5000, 0.5000, 0.5000], [0.7500, 0.2500, 0.7500], [0.7500, 0.7500, 0.2500]]
}

---

[4]
{
  "formula": "TeWO2",
  "functional": "PBE+U",
  "state": "relaxed",
  "dos_ef_per_ev_cell": 5.60,
  "dft_energy_ev_per_cell": -63.5,
  "cell": [[3.0254, 0.0000, 0.0000], [-1.5127, 2.6201, 0.0000], [0.0000, 0.0000, 22.7053]],
  "species": ["Te", "Te", "Te", "W", "W", "W", "O", "O", "O", "O", "O", "O"],
  "fractional_positions": [[0.0000, 0.0000, 0.0000], [0.3333, 0.6667, 0.6667], [0.6667, 0.3333, 0.3333], [0.0000, 0.0000, 0.5000], [0.3333, 0.6667, 0.1667], [0.6667, 0.3333, 0.8333], [0.0000, 0.0000, 0.4169], [0.0000, 0.0000, 0.5831], [0.3333, 0.6667, 0.0835], [0.3333, 0.6667, 0.2498], [0.6667, 0.3333, 0.7502], [0.6667, 0.3333, 0.9165]]
}